Entry 1:
Computed, not measured: an optimized crystal structure of PmInH at the PBE level of DFT.

N(E_F): 2.14 states/eV/f.u.
E_tot: -22.9 eV per cell
total magnetization: 0.000 μB/cell

a b c (Å): 3.2698 3.2698 11.8457
angles (deg): 90.00 90.00 90.00
Closest atoms and distances in Å follow each position.
Space group I4mm (No. 107)
Unique sites:
Pm (0.0000, 0.0000, 0.0000)  4 H 2.35
In (0.0000, 0.0000, 0.7229)  1 H 3.06, 4 In 3.27, 1 Pm 3.28
H (0.0000, 0.0000, 0.4643)  4 Pm 2.35

***

Entry 2:
Computed, not measured: an optimized crystal structure of Pm5In2H at the PBE level of DFT.

N(E_F): 9.21 states/eV/f.u.
E_tot: -68.4 eV per cell
total magnetization: 0.000 μB/cell

a b c (Å): 7.0882 7.0882 9.1908
angles (deg): 90.00 90.00 90.00
Closest atoms and distances in Å follow each position.
Space group I4mm (No. 107)
Unique sites:
Pm (0.0000, 0.0000, 0.0000)  1 H 2.32
Pm (0.2504, 0.2504, 0.2451)  1 H 2.51
In (0.0000, 0.5000, 0.4966)  10 Pm 3.39-3.54
H (0.0000, 0.0000, 0.2527)  5 Pm 2.32-2.51

***

Entry 3:
Computed, not measured: an optimized crystal structure of Pm4In2H at the PBE level of DFT.

N(E_F): 5.46 states/eV/f.u.
E_tot: -61.1 eV per cell
total magnetization: 0.000 μB/cell

a b c (Å): 6.2779 6.8598 9.3226
angles (deg): 90.00 106.46 90.00
Closest atoms and distances in Å follow each position.
Space group P2_1/m (No. 11)
Unique sites:
Pm (0.1819, 0.2500, 0.0659)  1 H 2.36
Pm (0.2685, 0.5022, 0.7270)  1 H 2.32
Pm (0.2754, 0.7500, 0.3705)  1 H 2.34
In (0.2152, 0.2500, 0.4154)  8 Pm 3.21-3.49
In (0.3476, 0.7500, 0.0414)  7 Pm 3.19-3.38, 2 H 3.39-3.48
H (0.0782, 0.2500, 0.8023)  4 Pm 2.32-2.36

***

Entry 4:
Computed, not measured: an optimized crystal structure of PmInH at the PBE level of DFT.

N(E_F): 1.12 states/eV/f.u.
E_tot: -72.1 eV per cell
total magnetization: 0.000 μB/cell

a b c (Å): 3.8617 3.8617 30.0041
angles (deg): 90.00 90.00 120.00
Closest atoms and distances in Å follow each position.
Space group R-3m (No. 166, hexagonal axes)
Unique sites:
Pm (0.0000, 0.0000, 0.1182)  4 H 2.29-2.31
In (0.0000, 0.0000, 0.3673)  3 In 3.02, 3 Pm 3.37
H (0.0000, 0.0000, 0.1947)  4 Pm 2.29-2.31

***

Entry 5:
Computed, not measured: an optimized crystal structure of PmPr2InH at the PBE level of DFT.

N(E_F): 8.36 states/eV/f.u.
E_tot: -22.2 eV per cell
total magnetization: 0.753 μB/cell

a b c (Å): 5.0048 5.0048 5.0770
angles (deg): 90.00 90.00 90.00
Closest atoms and distances in Å follow each position.
Space group P4/mmm (No. 123)
Unique sites:
Pm (0.0000, 0.0000, 0.0000)  2 H 2.54
Pr (0.0000, 0.5000, 0.5000)  2 H 2.50
In (0.5000, 0.5000, 0.0000)  4 Pm 3.54, 8 Pr 3.56
H (0.0000, 0.0000, 0.5000)  4 Pr 2.50, 2 Pm 2.54

***

Entry 6:
Computed, not measured: an optimized crystal structure of PmSm2InH at the PBE level of DFT.

N(E_F): 7.11 states/eV/f.u.
E_tot: -22.1 eV per cell
total magnetization: 1.159 μB/cell

a b c (Å): 4.9699 4.9699 4.9405
angles (deg): 90.00 90.00 90.00
Closest atoms and distances in Å follow each position.
Space group P4/mmm (No. 123)
Unique sites:
Pm (0.0000, 0.0000, 0.0000)  2 H 2.47
Sm (0.0000, 0.5000, 0.5000)  2 H 2.48
In (0.5000, 0.5000, 0.0000)  8 Sm 3.50, 4 Pm 3.51
H (0.0000, 0.0000, 0.5000)  2 Pm 2.47, 4 Sm 2.48

***

Entry 7:
Computed, not measured: an optimized crystal structure of Pm2SmInH at the PBE level of DFT.

N(E_F): 7.25 states/eV/f.u.
E_tot: -22.1 eV per cell
total magnetization: 1.169 μB/cell

a b c (Å): 4.9594 4.9594 4.9889
angles (deg): 90.00 90.00 90.00
Closest atoms and distances in Å follow each position.
Space group P4/mmm (No. 123)
Unique sites:
Pm (0.0000, 0.5000, 0.0000)  2 H 2.48
Sm (0.0000, 0.0000, 0.5000)  2 H 2.49
In (0.5000, 0.5000, 0.5000)  4 Sm 3.51, 8 Pm 3.52
H (0.0000, 0.0000, 0.0000)  4 Pm 2.48, 2 Sm 2.49

***

Entry 8:
Computed, not measured: an optimized crystal structure of Pm4InSnH at the PBE level of DFT.

N(E_F): 6.11 states/eV/f.u.
E_tot: -130.8 eV per cell
total magnetization: 0.001 μB/cell

a b c (Å): 6.6082 17.4442 6.5951
angles (deg): 90.00 90.00 90.00
Closest atoms and distances in Å follow each position.
Space group Cmcm (No. 63)
Unique sites:
Pm (0.0000, 0.0706, 0.2500)  1 H 2.39
Pm (0.0000, 0.4282, 0.2500)  3 Sn 3.22-3.37, 2 In 3.39
Pm (0.2500, 0.2500, 0.0000)  2 H 2.45
In (0.0000, 0.1140, 0.7500)  9 Pm 3.22-3.39
Sn (0.0000, 0.3871, 0.7500)  9 Pm 3.22-3.39
H (0.0000, 0.2077, 0.2500)  5 Pm 2.39-2.45